No. 1
Dy4HgSe5 | GGA-PBE | relaxed

a = 9.679 Å, b = 9.679 Å, c = 9.002 Å
α = 107.22°, β = 107.22°, γ = 24.16°
Element x y z (fractional)
Dy: 0.016 0.016 0.231
Dy: 0.327 0.327 0.428
Dy: 0.673 0.673 0.572
Dy: 0.984 0.984 0.769
Hg: 0.500 0.500 0.500
Se: 0.128 0.128 0.743
Se: 0.172 0.172 0.343
Se: 0.500 0.500 0.000
Se: 0.828 0.828 0.657
Se: 0.872 0.872 0.257

Results
As for the raw formation energy: -1483 meV per atom. Its total energy is -51.0 eV/cell. The magnetic moment comes out at 0.00 μB per formula unit.

---

No. 2
La6As2PBr3 | GGA-PBE | relaxed

a = 7.505 Å, b = 7.505 Å, c = 7.703 Å
α = 99.35°, β = 99.35°, γ = 120.01°
Element x y z (fractional)
La: 0.071 0.395 0.213
La: 0.252 0.252 0.785
La: 0.395 0.071 0.213
La: 0.605 0.929 0.787
La: 0.748 0.748 0.215
La: 0.929 0.605 0.787
As: 0.334 0.666 0.000
As: 0.666 0.334 0.000
P: 0.000 0.000 0.000
Br: 0.170 0.830 0.500
Br: 0.500 0.500 0.500
Br: 0.830 0.170 0.500

Results
As for the raw formation energy: -1565 meV per atom. Its total energy is -68.1 eV/cell. The magnetic moment comes out at 0.00 μB per formula unit.

---

No. 3
Ca2P2H2Pd5 | GGA-PBE | relaxed

a = 11.026 Å, b = 11.026 Å, c = 11.026 Å
α = 158.55°, β = 158.55°, γ = 30.51°
Element x y z (fractional)
Ca: 0.198 0.198 0.000
Ca: 0.802 0.802 0.000
P: 0.343 0.343 0.000
P: 0.657 0.657 0.000
H: 0.083 0.083 0.000
H: 0.917 0.917 0.000
Pd: 0.000 0.000 0.000
Pd: 0.094 0.594 0.500
Pd: 0.406 0.906 0.500
Pd: 0.594 0.094 0.500
Pd: 0.906 0.406 0.500

Results
Its total energy is -51.9 eV/cell. The magnetic moment comes out at 0.00 μB per formula unit.

---

No. 4
Th2Zr2Sc7 | GGA-PBE | relaxed

a = 6.159 Å, b = 6.159 Å, c = 7.954 Å
α = 100.06°, β = 100.06°, γ = 96.58°
Element x y z (fractional)
Th: 0.192 0.808 0.000
Th: 0.808 0.192 0.000
Zr: 0.126 0.126 0.333
Zr: 0.874 0.874 0.667
Sc: 0.025 0.388 0.673
Sc: 0.340 0.340 0.072
Sc: 0.388 0.025 0.673
Sc: 0.500 0.500 0.500
Sc: 0.612 0.975 0.327
Sc: 0.660 0.660 0.928
Sc: 0.975 0.612 0.327

Results
The energy above the most stable polymorph in this dataset is 0.010 eV/atom. The calculation puts the formation enthalpy at 0 K at 0.14 eV/atom. Its total energy is -74.7 eV/cell. The magnetic moment comes out at 0.00 μB per formula unit.

---

No. 5
Rb3ZrB | GGA-PBE | relaxed

a = 6.342 Å, b = 6.342 Å, c = 6.342 Å
α = 90.00°, β = 90.00°, γ = 90.00°
Element x y z (fractional)
Rb: 0.000 0.000 0.500
Rb: 0.000 0.500 0.000
Rb: 0.500 0.000 0.000
Zr: 0.500 0.500 0.500
B: 0.000 0.000 0.000

Results
The energy above the most stable polymorph in this dataset is 0.000 eV/atom. The calculation puts the formation enthalpy at 0 K at 1.63 eV/atom. Its total energy is -10.0 eV/cell. The magnetic moment comes out at 1.21 μB per formula unit.

---

No. 6
PmHo4Hg5 | GGA-PBE | relaxed

a = 3.719 Å, b = 3.719 Å, c = 18.728 Å
α = 90.00°, β = 90.00°, γ = 90.00°
Element x y z (fractional)
Pm: 0.000 0.000 0.000
Ho: 0.000 0.000 0.204
Ho: 0.000 0.000 0.401
Ho: 0.000 0.000 0.599
Ho: 0.000 0.000 0.796
Hg: 0.500 0.500 0.108
Hg: 0.500 0.500 0.303
Hg: 0.500 0.500 0.500
Hg: 0.500 0.500 0.697
Hg: 0.500 0.500 0.892

Results
The calculation puts the formation enthalpy at 0 K at -0.48 eV/atom. Its total energy is -29.4 eV/cell. The magnetic moment comes out at 0.59 μB per formula unit.

---

No. 7
MgSc2Br | GGA-PBE | relaxed

a = 3.838 Å, b = 5.427 Å, c = 9.587 Å
α = 90.00°, β = 90.00°, γ = 90.00°
Element x y z (fractional)
Mg: 0.000 0.000 0.000
Mg: 0.500 0.500 0.000
Sc: 0.000 0.000 0.498
Sc: 0.000 0.500 0.250
Sc: 0.500 0.000 0.250
Sc: 0.500 0.500 0.498
Br: 0.000 0.500 0.704
Br: 0.500 0.000 0.704

Results
The energy above the most stable polymorph in this dataset is 0.024 eV/atom. As for the raw formation energy: -382 meV per atom. Its total energy is -34.9 eV/cell. The magnetic moment comes out at 0.00 μB per formula unit.

---

No. 8
Nd2Tl3CdTe6 | GGA-PBE | relaxed

a = 7.857 Å, b = 7.857 Å, c = 8.370 Å
α = 99.04°, β = 99.04°, γ = 120.24°
Element x y z (fractional)
Nd: 0.165 0.835 0.000
Nd: 0.835 0.165 0.000
Tl: 0.000 0.000 0.500
Tl: 0.327 0.673 0.500
Tl: 0.673 0.327 0.500
Cd: 0.500 0.500 0.000
Te: 0.100 0.427 0.779
Te: 0.249 0.249 0.226
Te: 0.427 0.100 0.779
Te: 0.573 0.900 0.221
Te: 0.751 0.751 0.774
Te: 0.900 0.573 0.221

Results
As for the raw formation energy: -759 meV per atom. Its total energy is -45.5 eV/cell. The magnetic moment comes out at 0.00 μB per formula unit.

---

No. 9
CsYMn3 | GGA-PBE | relaxed

a = 5.146 Å, b = 5.146 Å, c = 5.146 Å
α = 90.00°, β = 90.00°, γ = 90.00°
Element x y z (fractional)
Cs: 0.000 0.000 0.000
Y: 0.500 0.500 0.500
Mn: 0.000 0.000 0.500
Mn: 0.000 0.500 0.000
Mn: 0.500 0.000 0.000

Results
The energy above the most stable polymorph in this dataset is 0.562 eV/atom. The calculation puts the formation enthalpy at 0 K at 1.91 eV/atom. Its total energy is -25.3 eV/cell. The magnetic moment comes out at 10.91 μB per formula unit.

---

No. 10
Sm2Al3Cu12Ni | GGA-PBE | relaxed

a = 9.795 Å, b = 9.795 Å, c = 9.795 Å
α = 36.13°, β = 36.13°, γ = 36.13°
Element x y z (fractional)
Sm: 0.151 0.151 0.151
Sm: 0.849 0.849 0.849
Al: 0.000 0.500 0.500
Al: 0.500 0.000 0.500
Al: 0.500 0.500 0.000
Cu: 0.081 0.081 0.685
Cu: 0.081 0.685 0.081
Cu: 0.147 0.574 0.574
Cu: 0.315 0.919 0.919
Cu: 0.426 0.426 0.853
Cu: 0.426 0.853 0.426
Cu: 0.574 0.147 0.574
Cu: 0.574 0.574 0.147
Cu: 0.685 0.081 0.081
Cu: 0.853 0.426 0.426
Cu: 0.919 0.315 0.919
Cu: 0.919 0.919 0.315
Ni: 0.500 0.500 0.500

Results
The calculation puts the formation enthalpy at 0 K at 0.10 eV/atom. Its total energy is -73.9 eV/cell. The magnetic moment comes out at 0.00 μB per formula unit.

---

No. 11
Pm3Al2Tc3C | GGA-PBE | relaxed

a = 7.541 Å, b = 7.541 Å, c = 3.477 Å
α = 90.00°, β = 90.00°, γ = 120.00°
Element x y z (fractional)
Pm: 0.000 0.356 0.000
Pm: 0.356 0.000 0.000
Pm: 0.644 0.644 0.000
Al: 0.333 0.667 0.500
Al: 0.667 0.333 0.500
Tc: 0.000 0.782 0.500
Tc: 0.218 0.218 0.500
Tc: 0.782 0.000 0.500
C: 0.000 0.000 0.000

Results
The calculation puts the formation enthalpy at 0 K at 0.14 eV/atom. Its total energy is -60.8 eV/cell. The magnetic moment comes out at 0.00 μB per formula unit.

---

No. 12
LiNpAlRu | GGA-PBE | relaxed

a = 6.495 Å, b = 6.495 Å, c = 6.495 Å
α = 90.00°, β = 90.00°, γ = 90.00°
Element x y z (fractional)
Li: 0.000 0.000 0.000
Li: 0.000 0.500 0.500
Li: 0.500 0.000 0.500
Li: 0.500 0.500 0.000
Np: 0.250 0.250 0.750
Np: 0.250 0.750 0.250
Np: 0.750 0.250 0.250
Np: 0.750 0.750 0.750
Al: 0.250 0.250 0.250
Al: 0.250 0.750 0.750
Al: 0.750 0.250 0.750
Al: 0.750 0.750 0.250
Ru: 0.000 0.000 0.500
Ru: 0.000 0.500 0.000
Ru: 0.500 0.000 0.000
Ru: 0.500 0.500 0.500

Results
The calculation puts the formation enthalpy at 0 K at -0.01 eV/atom. Its total energy is -111.6 eV/cell. The magnetic moment comes out at 3.92 μB per formula unit.

---

- Number 3 is which compound?
  Ca2P2H2Pd5